Here is a relaxed AuSeS2 crystal from Alexandria via LeMat-Bulk. Energies are from GGA-PBE.

space group	I-42d, No. 122
ΔE_f (raw)	0.385	eV/atom

Lattice parameters (Å, degrees): 5.2217 5.2217 7.7716 70.37 70.37 90.00
Fractional coordinates of all 8 atoms:
S 0.3750 0.3834 0.7500
S 0.1334 0.6250 0.2500
S 0.8750 0.8666 0.7500
S 0.6166 0.1250 0.2500
Au 0.0000 0.0000 0.0000
Au 0.7500 0.2500 0.5000
Se 0.5000 0.5000 0.0000
Se 0.2500 0.7500 0.5000

***

Here is a relaxed BaCoTc2 crystal from Alexandria via LeMat-Bulk. Energies are from GGA-PBE.

ΔE_f	1.491	eV per atom
energy relative to the lowest polymorph listed for this composition	1033	meV per atom
space group	P4/mmm, No. 123

Lattice parameters (Å, degrees): 4.6837 4.6837 3.2877 90.00 90.00 90.00
Site moments in Bohr magnetons follow the coordinates.
Fractional coordinates of all 4 atoms:
Tc 0.5000 0.5000 0.0000  0.68
Tc 0.0000 0.0000 0.0000  0.68
Co 0.0000 0.5000 0.5000  1.75
Ba 0.5000 0.0000 0.5000  0.00

***

Here is a relaxed ZrTiI2Cl crystal from Alexandria via LeMat-Bulk. Energies are from GGA-PBE.

space group	P4/mmm, No. 123
ΔE_f (raw)	0.788	eV/atom

Lattice parameters (Å, degrees): 6.3623 6.3623 4.6506 90.00 90.00 90.00
Site moments in Bohr magnetons follow the coordinates.
Fractional coordinates of all 5 atoms:
I 0.0000 0.5000 0.0000  0.02
I 0.5000 0.0000 0.0000  0.02
Ti 0.5000 0.5000 0.5000  -0.14
Zr 0.0000 0.0000 0.5000  1.19
Cl 0.0000 0.0000 0.0000  -0.04

***

Here is a relaxed MgZn2Pb2 crystal from Alexandria via LeMat-Bulk. Energies are from GGA-PBE.

ΔE_f	0.072	eV per atom
energy relative to the lowest polymorph listed for this composition	0	meV per atom
space group	P4/mbm, No. 127

Lattice parameters (Å, degrees): 7.3694 7.3694 4.3823 90.00 90.00 90.00
Fractional coordinates of all 10 atoms:
Mg 0.5000 0.5000 0.0000
Mg 0.0000 0.0000 0.0000
Zn 0.8761 0.6239 0.0000
Zn 0.3761 0.8761 0.0000
Zn 0.1239 0.3761 0.0000
Zn 0.6239 0.1239 0.0000
Pb 0.6813 0.8187 0.5000
Pb 0.3187 0.1813 0.5000
Pb 0.8187 0.3187 0.5000
Pb 0.1813 0.6813 0.5000